Entry from Alexandria via LeMat-Bulk: a geometry-optimized NaAg4Hg structure (PBE-GGA).

Output
Relative energy among the computed polymorphs in kJ/mol of atoms: 0.00
Fermi-level density of states in states/eV/atom: 0.362
Calculated total energy in eV per atom: -2.180
SG: F-43m (216)
Volume in Å³/atom: 21.002
Magnetization in Bohr magnetons per cell: 0.0
Calculated formation energy in eV/atom: -0.009
Theoretical density in g cm⁻³: 8.63

abc: 5.6274 5.6274 5.6274
angles: 60.00 60.00 60.00
Atoms (fractional coordinates):
Na (0.0000, 0.0000, 0.0000)
Ag (0.3751, 0.3751, 0.3751)
Ag (0.3751, 0.3751, 0.8746)
Ag (0.3751, 0.8746, 0.3751)
Ag (0.8746, 0.3751, 0.3751)
Hg (0.7500, 0.7500, 0.7500)

---

Entry from Alexandria via LeMat-Bulk: a geometry-optimized Ba2ZrTiH structure (PBE-GGA).

Output
Fermi-level density of states in states/eV/atom: 1.016
Calculated total energy in eV per atom: -4.135
SG: P4/mmm (123)
Volume in Å³/atom: 26.079
Magnetization in Bohr magnetons per cell: 0.0
Theoretical density in g cm⁻³: 5.28

abc: 5.3465 5.3465 4.5616
angles: 90.00 90.00 90.00
Atoms (fractional coordinates):
Ba (0.0000, 0.5000, 0.0000)
Ba (0.5000, 0.0000, 0.0000)
Zr (0.0000, 0.0000, 0.5000)
Ti (0.5000, 0.5000, 0.5000)
H (0.5000, 0.5000, 0.0000)

---

Entry from Alexandria via LeMat-Bulk: a geometry-optimized K2LiCa structure (PBE-GGA).

Output
Relative energy among the computed polymorphs in kJ/mol of atoms: 7.25
Fermi-level density of states in states/eV/atom: 0.807
Calculated total energy in eV per atom: -1.345
SG: R-3m (166)
Volume in Å³/atom: 48.629
Magnetization in Bohr magnetons per cell: 0.0
Calculated formation energy in eV/atom: 0.183
Theoretical density in g cm⁻³: 1.07

abc: 4.1009 4.1009 40.0668
angles: 90.00 90.00 120.00
Atoms (fractional coordinates):
K (0.0000, 0.0000, 0.2424)
K (0.0000, 0.0000, 0.7576)
K (0.3333, 0.6667, 0.4243)
K (0.3333, 0.6667, 0.9090)
K (0.6667, 0.3333, 0.0910)
K (0.6667, 0.3333, 0.5757)
Li (0.0000, 0.0000, 0.5000)
Li (0.3333, 0.6667, 0.1667)
Li (0.6667, 0.3333, 0.8333)
Ca (0.0000, 0.0000, 0.0000)
Ca (0.3333, 0.6667, 0.6667)
Ca (0.6667, 0.3333, 0.3333)

---

Entry from Alexandria via LeMat-Bulk: a geometry-optimized Tb2Pm4Bi3N2 structure (PBE-GGA).

Output
Fermi-level density of states in states/eV/atom: 0.355
Calculated total energy in eV per atom: -6.155
SG: I4/mmm (139)
Volume in Å³/atom: 27.477
Magnetization in Bohr magnetons per cell: 0.0
Formation energy from raw total energies in meV per atom: -1013
Theoretical density in g cm⁻³: 8.53

abc: 13.5277 13.5277 13.5277
angles: 159.54 159.54 29.09
Atoms (fractional coordinates):
Tb (0.1908, 0.1908, 0.0000)
Tb (0.8092, 0.8092, 0.0000)
Pm (0.0849, 0.5849, 0.5000)
Pm (0.4151, 0.9151, 0.5000)
Pm (0.5849, 0.0849, 0.5000)
Pm (0.9151, 0.4151, 0.5000)
Bi (0.3176, 0.3176, 0.0000)
Bi (0.5000, 0.5000, 0.0000)
Bi (0.6824, 0.6824, 0.0000)
N (0.1066, 0.1066, 0.0000)
N (0.8934, 0.8934, 0.0000)

---

Entry from Alexandria via LeMat-Bulk: a geometry-optimized SrTmPt2 structure (PBE-GGA).

Output
Relative energy among the computed polymorphs in kJ/mol of atoms: 10.01
Fermi-level density of states in states/eV/atom: 0.287
Calculated total energy in eV per atom: -5.522
SG: R-3m (166)
Volume in Å³/atom: 24.918
Magnetization in Bohr magnetons per cell: 0.0
Calculated formation energy in eV/atom: -0.964
Theoretical density in g cm⁻³: 10.77

abc: 4.7085 4.7085 15.5739
angles: 90.00 90.00 120.00
Atoms (fractional coordinates):
Sr (0.0000, 0.0000, 0.0000)
Sr (0.3333, 0.6667, 0.6667)
Sr (0.6667, 0.3333, 0.3333)
Tm (0.0000, 0.0000, 0.5000)
Tm (0.3333, 0.6667, 0.1667)
Tm (0.6667, 0.3333, 0.8333)
Pt (0.0000, 0.0000, 0.2155)
Pt (0.0000, 0.0000, 0.7845)
Pt (0.3333, 0.6667, 0.4511)
Pt (0.3333, 0.6667, 0.8822)
Pt (0.6667, 0.3333, 0.1178)
Pt (0.6667, 0.3333, 0.5489)

---

Entry from Alexandria via LeMat-Bulk: a geometry-optimized NiAg2Pt structure (PBE-GGA).

Output
Fermi-level density of states in states/eV/atom: 1.316
Calculated total energy in eV per atom: -4.226
SG: I-4m2 (119)
Volume in Å³/atom: 15.604
Magnetization in Bohr magnetons per cell: 1.2
Calculated formation energy in eV/atom: 0.155
Theoretical density in g cm⁻³: 12.49

abc: 4.0286 4.0286 7.6916
angles: 90.00 90.00 90.00
Atoms (fractional coordinates):
Ni (0.0000, 0.0000, 0.0000)
Ni (0.5000, 0.5000, 0.5000)
Ag (0.0000, 0.0000, 0.5000)
Ag (0.0000, 0.5000, 0.2500)
Ag (0.5000, 0.0000, 0.7500)
Ag (0.5000, 0.5000, 0.0000)
Pt (0.0000, 0.5000, 0.7500)
Pt (0.5000, 0.0000, 0.2500)